# 1
Computed, not measured: an optimized crystal structure of Pm2GeAs3Ir4 at the PBE level of DFT.

Cell lengths 4.2425, 4.2425, 10.2651 Å; angles 90.00, 90.00, 90.00 degrees
Sites, in units of the cell vectors:
1 Ir 0.0000 0.0000 0.0000
2 Ir 0.0000 0.5000 0.3744
3 Ir 0.5000 0.0000 0.6256
4 Ir 0.5000 0.5000 0.0000
5 As 0.0000 0.5000 0.1384
6 As 0.0000 0.0000 0.5000
7 As 0.5000 0.0000 0.8616
8 Ge 0.5000 0.5000 0.5000
9 Pm 0.0000 0.5000 0.7487
10 Pm 0.5000 0.0000 0.2513

Summary:
- Formation energy: -72 kJ per mole of atoms
- DFT total energy: -70.97 eV for the cell shown
- Mass density: 12.2 Mg/m³

=====

# 2
Computed, not measured: an optimized crystal structure of Zr2MnZnH at the PBE level of DFT.

Cell lengths 4.5913, 4.5913, 3.4279 Å; angles 90.00, 90.00, 90.00 degrees
Last column: magnetic moment on the atom in μB.
Sites, in units of the cell vectors:
1 Zr 0.0000 0.5000 0.0000  -0.17
2 Zr 0.5000 0.0000 0.0000  -0.17
3 Mn 0.0000 0.0000 0.5000  0.85
4 Zn 0.5000 0.5000 0.5000  -0.01
5 H 0.0000 0.0000 0.0000  0.00

Summary:
- DFT total energy: -31.93 eV for the cell shown
- Mass density: 7.0 Mg/m³

=====

# 3
Computed, not measured: an optimized crystal structure of Pr4Pd3 at the PBE level of DFT.

Cell lengths 4.7741, 6.0444, 7.5506 Å; angles 105.96, 108.43, 90.00 degrees
Sites, in units of the cell vectors:
1 Pr 0.4113 0.7121 0.8226
2 Pr 0.5887 0.2879 0.1774
3 Pr 0.1595 0.7930 0.3190
4 Pr 0.8405 0.2070 0.6810
5 Pd 0.2262 0.3202 0.4523
6 Pd 0.0000 0.0000 0.0000
7 Pd 0.7738 0.6798 0.5477

Summary:
- Formation energy: -56 kJ per mole of atoms
- DFT total energy: -38.79 eV for the cell shown
- Mass density: 7.4 Mg/m³

=====

# 4
Computed, not measured: an optimized crystal structure of AsP2Au at the PBE level of DFT.

Cell lengths 3.1588, 3.1588, 6.7780 Å; angles 90.00, 90.00, 90.00 degrees
Sites, in units of the cell vectors:
1 P 0.0000 0.0000 0.0091
2 P 0.0000 0.0000 0.4909
3 Au 0.5000 0.5000 0.7500
4 As 0.5000 0.5000 0.2500

Summary:
- Formation energy: 59 kJ per mole of atoms
- DFT total energy: -16.31 eV for the cell shown
- Mass density: 8.2 Mg/m³

=====

# 5
Computed, not measured: an optimized crystal structure of Li2CaNd at the PBE level of DFT.

Cell lengths 3.8423, 3.8423, 7.9292 Å; angles 90.00, 90.00, 90.00 degrees
Last column: magnetic moment on the atom in μB.
Sites, in units of the cell vectors:
1 Li 0.0000 0.0000 0.2443  0.00
2 Li 0.0000 0.0000 0.7557  0.00
3 Nd 0.5000 0.5000 0.0000  0.07
4 Ca 0.5000 0.5000 0.5000  0.00

Summary:
- Formation energy: 9 kJ per mole of atoms
- DFT total energy: -10.24 eV for the cell shown
- Mass density: 2.8 Mg/m³
- Energy above the lowest structure with this stoichiometry: 0.00 eV per formula unit

=====

# 6
Computed, not measured: an optimized crystal structure of LaPr5NdY2 at the PBE level of DFT.

Cell lengths 9.0518, 9.0518, 10.1614 Å; angles 116.45, 116.45, 90.00 degrees
Sites, in units of the cell vectors:
1 Y 0.6171 0.1171 0.0000
2 Y 0.3829 0.8829 0.0000
3 Y 0.1171 0.3829 0.0000
4 Y 0.8829 0.6171 0.0000
5 Pr 0.3380 0.8380 0.2742
6 Pr 0.0638 0.5638 0.7258
7 Pr 0.4362 0.3380 0.2742
8 Pr 0.6620 0.1620 0.7258
9 Pr 0.8380 0.9362 0.2742
10 Pr 0.5000 0.5000 0.0000
11 Pr 0.9362 0.4362 0.2742
12 Pr 0.0000 0.0000 0.0000
13 Pr 0.1620 0.0638 0.7258
14 Pr 0.5638 0.6620 0.7258
15 Nd 0.7500 0.2500 0.5000
16 Nd 0.2500 0.7500 0.5000
17 La 0.7500 0.7500 0.5000
18 La 0.2500 0.2500 0.5000

Summary:
- Formation energy: 27 kJ per mole of atoms
- DFT total energy: -88.08 eV for the cell shown
- Mass density: 6.0 Mg/m³

=====

# 7
Computed, not measured: an optimized crystal structure of Pm5ScIn4 at the PBE level of DFT.

Cell lengths 4.4716, 3.6240, 17.5959 Å; angles 90.00, 90.00, 90.00 degrees
Sites, in units of the cell vectors:
1 Pm 0.5000 0.5000 0.1017
2 Pm 0.5000 0.5000 0.5000
3 Pm 0.5000 0.5000 0.7002
4 Pm 0.5000 0.5000 0.2998
5 Pm 0.5000 0.5000 0.8983
6 Sc 0.0000 0.0000 0.0000
7 In 0.0000 0.0000 0.4008
8 In 0.0000 0.0000 0.1965
9 In 0.0000 0.0000 0.5992
10 In 0.0000 0.0000 0.8035

Summary:
- Formation energy: -35 kJ per mole of atoms
- DFT total energy: -44.71 eV for the cell shown
- Mass density: 7.2 Mg/m³
- Energy above the lowest structure with this stoichiometry: 0.04 eV per formula unit

=====

# 8
Computed, not measured: an optimized crystal structure of ZrTi2Zn2 at the PBE level of DFT.

Cell lengths 3.8809, 3.8809, 6.5368 Å; angles 72.73, 72.73, 90.00 degrees
Last column: magnetic moment on the atom in μB.
Sites, in units of the cell vectors:
1 Ti 0.7500 0.2500 0.5000  0.47
2 Ti 0.2500 0.7500 0.5000  0.47
3 Zn 0.4015 0.4015 0.1969  0.00
4 Zn 0.5985 0.5985 0.8031  0.00
5 Zr 0.0000 0.0000 0.0000  -0.01

Summary:
- Formation energy: -2 kJ per mole of atoms
- DFT total energy: -27.01 eV for the cell shown
- Mass density: 5.9 Mg/m³
- Energy above the lowest structure with this stoichiometry: 0.35 eV per formula unit

=====

# 9
Computed, not measured: an optimized crystal structure of PuGaCuTc at the PBE level of DFT.

Cell lengths 4.5732, 4.5732, 4.5732 Å; angles 60.00, 60.00, 60.00 degrees
Last column: magnetic moment on the atom in μB.
Sites, in units of the cell vectors:
1 Pu 0.5000 0.5000 0.5000  4.82
2 Ga 0.0000 0.0000 0.0000  0.00
3 Cu 0.7500 0.7500 0.7500  -0.01
4 Tc 0.2500 0.2500 0.2500  -0.56

Summary:
- Formation energy: 6 kJ per mole of atoms
- DFT total energy: -31.56 eV for the cell shown
- Mass density: 11.7 Mg/m³

=====

# 10
Computed, not measured: an optimized crystal structure of SrAc2Ag at the PBE level of DFT.

Cell lengths 4.0120, 4.0120, 10.1097 Å; angles 90.00, 90.00, 90.00 degrees
Sites, in units of the cell vectors:
1 Ac 0.0000 0.0000 0.8136
2 Ac 0.0000 0.0000 0.1864
3 Sr 0.5000 0.5000 0.5000
4 Ag 0.5000 0.5000 0.0000

Summary:
- Formation energy: -6 kJ per mole of atoms
- DFT total energy: -12.99 eV for the cell shown
- Mass density: 6.6 Mg/m³
- Energy above the lowest structure with this stoichiometry: 0.09 eV per formula unit

=====

# 11
Computed, not measured: an optimized crystal structure of Pm2CuPt at the PBE level of DFT.

Cell lengths 3.5748, 5.0605, 5.0605 Å; angles 90.00, 90.00, 90.00 degrees
Sites, in units of the cell vectors:
1 Cu 0.5000 0.5000 0.5000
2 Pt 0.5000 0.0000 0.0000
3 Pm 0.0000 0.0000 0.5000
4 Pm 0.0000 0.5000 0.0000

Summary:
- Formation energy: -62 kJ per mole of atoms
- DFT total energy: -22.20 eV for the cell shown
- Mass density: 10.0 Mg/m³
- Energy above the lowest structure with this stoichiometry: 0.32 eV per formula unit

=====

# 12
Computed, not measured: an optimized crystal structure of Ba2TaPb at the PBE level of DFT.

Cell lengths 6.4227, 6.4227, 3.4342 Å; angles 89.99, 89.99, 113.13 degrees
Last column: magnetic moment on the atom in μB.
Sites, in units of the cell vectors:
1 Ba 0.0000 0.0000 0.0000  0.03
2 Ba 0.5000 0.5000 0.0000  0.03
3 Ta 0.0000 0.5000 0.5000  0.56
4 Pb 0.5000 0.0000 0.5000  0.00

Summary:
- Formation energy: 64 kJ per mole of atoms
- DFT total energy: -16.77 eV for the cell shown
- Mass density: 8.4 Mg/m³

=====

Q: What is the DFT total energy in the sixth record?
A: -88.08 eV for the cell shown

=====

Q: Look up the DFT total energy of the twelfth one.
A: -16.77 eV for the cell shown